1.
A relaxed structure of NaZnGaCl4, computed with PBE-GGA. Values from VASP.

```
&SYSTEM
  ibrav = 0, nat = 14, ntyp = 4
/
ATOMIC_SPECIES
Na 22.99 Na.upf
Zn 65.41 Zn.upf
Ga 69.72 Ga.upf
Cl 35.45 Cl.upf
CELL_PARAMETERS angstrom
-6.279 -1.445 2.486
-2.503 -0.612 -6.677
3.806 -7.170 -0.770
ATOMIC_POSITIONS crystal
Na 0.787 0.750 0.437
Na 0.213 0.250 0.563
Zn 0.256 0.750 0.318
Zn 0.744 0.250 0.682
Ga 0.749 0.750 0.904
Ga 0.251 0.250 0.096
Cl 0.964 0.499 0.724
Cl 0.036 0.999 0.276
Cl 0.036 0.501 0.276
Cl 0.964 0.001 0.724
Cl 0.460 0.750 0.144
Cl 0.540 0.250 0.856
Cl 0.455 0.750 0.595
Cl 0.545 0.250 0.405
```

Output
SG: P2_1/m
Uncorrected formation energy (meV per atom): -1193



2.
A relaxed structure of NaZn2GaCl6, computed with PBE-GGA. Values from VASP.

```
&SYSTEM
  ibrav = 0, nat = 20, ntyp = 4
/
ATOMIC_SPECIES
Na 22.99 Na.upf
Zn 65.41 Zn.upf
Ga 69.72 Ga.upf
Cl 35.45 Cl.upf
CELL_PARAMETERS angstrom
-6.103 -0.737 2.824
-4.561 -1.923 -7.679
0.549 -8.993 1.519
ATOMIC_POSITIONS crystal
Na 0.250 0.285 0.715
Na 0.750 0.715 0.285
Zn 0.218 0.788 0.614
Zn 0.282 0.386 0.212
Zn 0.782 0.212 0.386
Zn 0.718 0.614 0.788
Ga 0.250 0.899 0.101
Ga 0.750 0.101 0.899
Cl 0.164 0.975 0.774
Cl 0.336 0.226 0.025
Cl 0.836 0.025 0.226
Cl 0.664 0.774 0.975
Cl 0.376 0.850 0.393
Cl 0.124 0.607 0.150
Cl 0.624 0.150 0.607
Cl 0.876 0.393 0.850
Cl 0.907 0.708 0.580
Cl 0.593 0.420 0.292
Cl 0.093 0.292 0.420
Cl 0.407 0.580 0.708
```

Output
SG: C2/c
Uncorrected formation energy (meV per atom): -1182



3.
A relaxed structure of NaZn2GaCl, computed with PBE-GGA. Values from VASP.

```
&SYSTEM
  ibrav = 0, nat = 5, ntyp = 4
/
ATOMIC_SPECIES
Na 22.99 Na.upf
Zn 65.41 Zn.upf
Ga 69.72 Ga.upf
Cl 35.45 Cl.upf
CELL_PARAMETERS angstrom
5.352 0.000 0.000
0.000 5.838 0.000
0.000 0.000 5.352
ATOMIC_POSITIONS crystal
Na 0.000 0.000 0.000
Zn 0.000 0.000 0.500
Zn 0.500 0.000 0.000
Ga 0.000 0.500 0.000
Cl 0.500 0.500 0.500
```

Output
SG: P4/mmm
Uncorrected formation energy (meV per atom): 355



4.
A relaxed structure of Nb2GaCl, computed with PBE-GGA. Values from VASP.

```
&SYSTEM
  ibrav = 0, nat = 4, ntyp = 3
/
ATOMIC_SPECIES
Nb 92.91 Nb.upf
Ga 69.72 Ga.upf
Cl 35.45 Cl.upf
CELL_PARAMETERS angstrom
3.172 3.188 0.757
-0.716 3.230 3.139
2.382 -0.031 3.889
ATOMIC_POSITIONS crystal
Nb 0.250 0.250 0.250
Nb 0.750 0.750 0.750
Ga 0.500 0.500 0.500
Cl 0.000 0.000 0.000
```

Output
SG: Fm-3m
Energy relative to the lowest polymorph listed for this composition (kJ/mol of atoms): 0.0
Uncorrected formation energy (meV per atom): 155



5.
A relaxed structure of Nb2GaCl, computed with PBE-GGA. Values from VASP.

```
&SYSTEM
  ibrav = 0, nat = 8, ntyp = 3
/
ATOMIC_SPECIES
Nb 92.91 Nb.upf
Ga 69.72 Ga.upf
Cl 35.45 Cl.upf
CELL_PARAMETERS angstrom
3.992 0.000 0.000
0.000 3.992 0.000
1.996 1.996 9.521
ATOMIC_POSITIONS crystal
Nb 0.625 0.125 0.250
Nb 0.125 0.625 0.250
Nb 0.375 0.375 0.750
Nb 0.875 0.875 0.750
Ga 0.000 0.000 0.000
Ga 0.750 0.250 0.500
Cl 0.500 0.500 0.000
Cl 0.250 0.750 0.500
```

Output
SG: I-42d
Energy relative to the lowest polymorph listed for this composition (kJ/mol of atoms): 18.5
Uncorrected formation energy (meV per atom): 348



6.
A relaxed structure of Nb3GaCl, computed with PBE-GGA. Values from VASP.

```
&SYSTEM
  ibrav = 0, nat = 5, ntyp = 3
/
ATOMIC_SPECIES
Nb 92.91 Nb.upf
Ga 69.72 Ga.upf
Cl 35.45 Cl.upf
CELL_PARAMETERS angstrom
-3.482 -2.092 2.054
2.635 -0.834 3.617
-1.286 3.956 1.849
ATOMIC_POSITIONS crystal
Nb 0.000 0.500 0.000
Nb 0.000 0.000 0.500
Nb 0.500 0.000 0.000
Ga 0.500 0.500 0.500
Cl 0.000 0.000 0.000
```

Output
SG: Pm-3m
Energy relative to the lowest polymorph listed for this composition (kJ/mol of atoms): 0.0
Uncorrected formation energy (meV per atom): 546



7.
A relaxed structure of NbGaCl3, computed with PBE-GGA. Values from VASP.

```
&SYSTEM
  ibrav = 0, nat = 5, ntyp = 3
/
ATOMIC_SPECIES
Nb 92.91 Nb.upf
Ga 69.72 Ga.upf
Cl 35.45 Cl.upf
CELL_PARAMETERS angstrom
5.121 0.000 0.000
0.000 5.121 0.000
0.000 0.000 5.121
ATOMIC_POSITIONS crystal
Nb 0.000 0.000 0.000
Ga 0.500 0.500 0.500
Cl 0.000 0.500 0.000
Cl 0.000 0.000 0.500
Cl 0.500 0.000 0.000
```

Output
SG: Pm-3m
Energy relative to the lowest polymorph listed for this composition (kJ/mol of atoms): 0.0
Uncorrected formation energy (meV per atom): -564



8.
A relaxed structure of NbGaCl3, computed with PBE-GGA. Values from VASP.

```
&SYSTEM
  ibrav = 0, nat = 5, ntyp = 3
/
ATOMIC_SPECIES
Nb 92.91 Nb.upf
Ga 69.72 Ga.upf
Cl 35.45 Cl.upf
CELL_PARAMETERS angstrom
-1.820 -3.315 -3.299
4.508 -2.186 -0.290
-1.245 -3.069 3.771
ATOMIC_POSITIONS crystal
Nb 0.500 0.500 0.500
Ga 0.000 0.000 0.000
Cl 0.000 0.500 0.000
Cl 0.000 0.000 0.500
Cl 0.500 0.000 0.000
```

Output
SG: Pm-3m
Energy relative to the lowest polymorph listed for this composition (kJ/mol of atoms): 74.4
Uncorrected formation energy (meV per atom): 207



- Among the records above, which one has the lowest uncorrected formation energy?
  NaZnGaCl4